A plane-wave DFT calculation with PBE was carried out for a relaxed CeThNi2Ge2 crystal.

Geometry as POSCAR:
```
CeThNi2Ge2
1.0
4.2079 0.0000 0.0000
-2.1040 3.6442 0.0000
0.0000 0.0000 7.7314
Ce Th Ni Ge
1 1 2 2
direct
0.0000 0.0000 0.0000 Ce
0.0000 0.0000 0.5000 Th
0.3333 0.6667 0.2512 Ni
0.6667 0.3333 0.7488 Ni
0.3333 0.6667 0.7594 Ge
0.6667 0.3333 0.2406 Ge
```

calculated formation energy	-74	kJ per mole of atoms